10
Lattice="-2.246 -5.631 1.015 0.484 -5.666 -5.534 5.576 -3.699 4.277" Properties=species:S:1:pos:R:3 comment="PBE-GGA Sm2YHo7, optimized geometry" vol_a3_per_cell=316.1 sg="No. 2" dos_at_fermi_per_ev_atom=1.305 ef_ev_per_atom=0.02 total_energy_ev_per_atom=-4.7760 pbc="T T T"
Sm 1.253 -5.990 0.556
Sm 2.560 -9.006 -0.798
Ho -0.881 -5.649 -2.259
Ho 1.300 -3.011 -1.363
Ho 0.374 -11.645 -1.699
Ho 3.392 -6.346 3.374
Ho 2.513 -11.985 1.122
Ho 0.421 -8.650 -3.616
Ho 3.439 -3.351 1.457
Y 0.000 0.000 0.000